1.
Density functional theory data (GGA-PBEsol) for SbCl4F after structural relaxation.

Cell: 10.154 10.154 10.154 Å, 98.54 98.54 134.66°
Fractional positions:
Sb: 0.022 0.754 0.833
Sb: 0.246 0.079 0.269
Sb: 0.811 0.978 0.731
Sb: 0.921 0.189 0.167
Cl: 0.145 0.270 0.789
Cl: 0.161 0.661 0.916
Cl: 0.223 0.487 0.174
Cl: 0.313 0.049 0.826
Cl: 0.339 0.256 0.500
Cl: 0.419 0.010 0.305
Cl: 0.481 0.356 0.211
Cl: 0.513 0.687 0.736
Cl: 0.644 0.855 0.124
Cl: 0.705 0.114 0.695
Cl: 0.730 0.519 0.876
Cl: 0.744 0.244 0.084
Cl: 0.756 0.839 0.500
Cl: 0.886 0.581 0.591
Cl: 0.951 0.777 0.264
Cl: 0.990 0.295 0.409
F: 0.070 0.116 0.197
F: 0.128 0.930 0.046
F: 0.884 0.082 0.954
F: 0.918 0.872 0.803

SG ... I-4 (82)

2.
Density functional theory data (GGA-PBEsol) for HfSbAs2Se after structural relaxation.

Cell: 5.133 5.133 4.968 Å, 90.00 90.00 90.00°
Fractional positions:
Hf: 0.000 0.000 0.000
Sb: 0.500 0.500 0.500
As: 0.000 0.500 0.000
As: 0.500 0.000 0.000
Se: 0.000 0.000 0.500

SG ... P4/mmm (123)

3.
Density functional theory data (GGA-PBEsol) for SrPdOF2 after structural relaxation.

Cell: 4.196 4.196 4.103 Å, 90.00 90.00 90.00°
Fractional positions:
Sr: 0.000 0.000 0.000
Pd: 0.500 0.500 0.500
O: 0.500 0.500 0.000
F: 0.000 0.500 0.500
F: 0.500 0.000 0.500

SG ... P4/mmm (123)

4.
Density functional theory data (GGA-PBEsol) for CoTe2Se after structural relaxation.

Cell: 3.759 3.759 7.138 Å, 99.49 99.49 57.59°
Fractional positions:
Co: 0.000 0.000 0.000
Te: 0.291 0.291 0.808
Te: 0.709 0.709 0.192
Se: 0.500 0.500 0.500

SG ... C2/m (12)

Asked for formation energy (no corrections) across the records above, the calculation gives -0.981; 0.157; -1.899; -0.045 eV per atom in order.
Asked for uncorrected energy across the records above, the calculation gives -3.400; -5.668; -5.279; -4.705 eV/atom in order.